<A>
Below is a relaxed structure of Cs2Rb2Ca, with properties calculated at the PBE level.

a b c (Å): 11.260 11.260 7.138
angles (deg): 90.00 90.00 90.00
Element x y z (fractional)
Cs (0.180, 0.320, 0.000)
Cs (0.320, 0.820, 0.000)
Cs (0.680, 0.180, 0.000)
Cs (0.820, 0.680, 0.000)
Rb (0.138, 0.638, 0.500)
Rb (0.362, 0.138, 0.500)
Rb (0.638, 0.862, 0.500)
Rb (0.862, 0.362, 0.500)
Ca (0.000, 0.000, 0.500)
Ca (0.500, 0.500, 0.500)

Calculated values
Space-group type: P4/mbm (127)
Density of states at the Fermi level, states/eV per atom: 1.18



<B>
Below is a relaxed structure of Cs2Rb2Ca, with properties calculated at the PBE level.

a b c (Å): 12.230 12.230 5.919
angles (deg): 90.00 90.00 90.00
Element x y z (fractional)
Cs (0.139, 0.361, 0.000)
Cs (0.361, 0.861, 0.000)
Cs (0.639, 0.139, 0.000)
Cs (0.861, 0.639, 0.000)
Rb (0.171, 0.671, 0.500)
Rb (0.329, 0.171, 0.500)
Rb (0.671, 0.829, 0.500)
Rb (0.829, 0.329, 0.500)
Ca (0.000, 0.000, 0.000)
Ca (0.500, 0.500, 0.000)

Calculated values
Space-group type: P4/mbm (127)
Density of states at the Fermi level, states/eV per atom: 1.16



Tell me which of them is the least stable. Sure, it is <B>.



<A>
Below is a relaxed structure of Cs2Rb2Ca, with properties calculated at the PBE level.

a b c (Å): 13.841 13.841 13.841
angles (deg): 154.99 154.99 35.66
Element x y z (fractional)
Cs (0.090, 0.090, 0.000)
Cs (0.910, 0.910, 0.000)
Rb (0.250, 0.750, 0.500)
Rb (0.750, 0.250, 0.500)
Ca (0.500, 0.500, 0.000)

Calculated values
Space-group type: I4/mmm (139)
Density of states at the Fermi level, states/eV per atom: 1.13



<B>
Below is a relaxed structure of Cs2Rb2Ca, with properties calculated at the PBE level.

a b c (Å): 12.355 12.355 12.355
angles (deg): 150.08 150.08 42.82
Element x y z (fractional)
Cs (0.250, 0.750, 0.500)
Cs (0.750, 0.250, 0.500)
Rb (0.087, 0.087, 0.000)
Rb (0.913, 0.913, 0.000)
Ca (0.500, 0.500, 0.000)

Calculated values
Space-group type: I4/mmm (139)
Density of states at the Fermi level, states/eV per atom: 1.12



Tell me which of them is the least stable. Sure, it is <B>.



<A>
Below is a relaxed structure of Cs2RbCa2, with properties calculated at the PBE level.

a b c (Å): 12.900 12.900 4.544
angles (deg): 90.00 90.00 90.00
Element x y z (fractional)
Cs (0.184, 0.316, 0.000)
Cs (0.316, 0.816, 0.000)
Cs (0.684, 0.184, 0.000)
Cs (0.816, 0.684, 0.000)
Rb (0.000, 0.000, 0.500)
Rb (0.500, 0.500, 0.500)
Ca (0.105, 0.605, 0.500)
Ca (0.395, 0.105, 0.500)
Ca (0.605, 0.895, 0.500)
Ca (0.895, 0.395, 0.500)

Calculated values
Space-group type: P4/mbm (127)
Density of states at the Fermi level, states/eV per atom: 0.89



<B>
Below is a relaxed structure of Cs2RbCa2, with properties calculated at the PBE level.

a b c (Å): 13.041 13.041 4.433
angles (deg): 90.00 90.00 90.00
Element x y z (fractional)
Cs (0.183, 0.317, 0.000)
Cs (0.317, 0.817, 0.000)
Cs (0.683, 0.183, 0.000)
Cs (0.817, 0.683, 0.000)
Rb (0.000, 0.000, 0.000)
Rb (0.500, 0.500, 0.000)
Ca (0.105, 0.605, 0.500)
Ca (0.395, 0.105, 0.500)
Ca (0.605, 0.895, 0.500)
Ca (0.895, 0.395, 0.500)

Calculated values
Space-group type: P4/mbm (127)
Density of states at the Fermi level, states/eV per atom: 1.11



Tell me which of them is the least stable. Sure, it is <B>.



<A>
Below is a relaxed structure of Cs3RbCa, with properties calculated at the PBE level.

a b c (Å): 8.419 8.419 8.419
angles (deg): 90.00 90.00 90.00
Element x y z (fractional)
Cs (0.000, 0.000, 0.500)
Cs (0.000, 0.500, 0.000)
Cs (0.500, 0.000, 0.000)
Rb (0.500, 0.500, 0.500)
Ca (0.000, 0.000, 0.000)

Calculated values
Space-group type: Pm-3m (221)
Density of states at the Fermi level, states/eV per atom: 1.77



<B>
Below is a relaxed structure of Cs3RbCa, with properties calculated at the PBE level.

a b c (Å): 8.311 8.311 8.311
angles (deg): 90.00 90.00 90.00
Element x y z (fractional)
Cs (0.000, 0.000, 0.500)
Cs (0.000, 0.500, 0.000)
Cs (0.500, 0.000, 0.000)
Rb (0.000, 0.000, 0.000)
Ca (0.500, 0.500, 0.500)

Calculated values
Space-group type: Pm-3m (221)
Density of states at the Fermi level, states/eV per atom: 1.29



Tell me which of them is the least stable. Sure, it is <B>.



<A>
Below is a relaxed structure of CsCa2Rh2, with properties calculated at the PBE level.

a b c (Å): 7.288 7.288 7.288
angles (deg): 140.07 140.07 57.75
Element x y z (fractional)
Cs (0.000, 0.000, 0.000)
Ca (0.340, 0.340, 0.000)
Ca (0.660, 0.660, 0.000)
Rh (0.250, 0.750, 0.500)
Rh (0.750, 0.250, 0.500)

Calculated values
Space-group type: I4/mmm (139)
Density of states at the Fermi level, states/eV per atom: 0.58



<B>
Below is a relaxed structure of CsCa2Rh2, with properties calculated at the PBE level.

a b c (Å): 8.552 8.552 3.470
angles (deg): 90.00 90.00 90.00
Element x y z (fractional)
Cs (0.000, 0.000, 0.000)
Cs (0.500, 0.500, 0.000)
Ca (0.144, 0.356, 0.500)
Ca (0.356, 0.856, 0.500)
Ca (0.644, 0.144, 0.500)
Ca (0.856, 0.644, 0.500)
Rh (0.135, 0.635, 0.000)
Rh (0.365, 0.135, 0.000)
Rh (0.635, 0.865, 0.000)
Rh (0.865, 0.365, 0.000)

Calculated values
Space-group type: P4/mbm (127)
Density of states at the Fermi level, states/eV per atom: 0.69



Tell me which of them is the least stable. Sure, it is <A>.



<A>
Below is a relaxed structure of CsCa2RhSe, with properties calculated at the PBE level.

a b c (Å): 5.979 5.979 4.852
angles (deg): 90.00 90.00 90.00
Element x y z (fractional)
Cs (0.000, 0.000, 0.000)
Ca (0.000, 0.500, 0.000)
Ca (0.500, 0.000, 0.000)
Rh (0.000, 0.000, 0.500)
Se (0.500, 0.500, 0.500)

Calculated values
Space-group type: P4/mmm (123)
Density of states at the Fermi level, states/eV per atom: 1.06



<B>
Below is a relaxed structure of CsCa2RhSe, with properties calculated at the PBE level.

a b c (Å): 5.689 5.689 4.989
angles (deg): 90.00 90.00 90.00
Element x y z (fractional)
Cs (0.000, 0.000, 0.000)
Ca (0.000, 0.500, 0.500)
Ca (0.500, 0.000, 0.500)
Rh (0.500, 0.500, 0.000)
Se (0.500, 0.500, 0.500)

Calculated values
Space-group type: P4/mmm (123)
Density of states at the Fermi level, states/eV per atom: 0.58



Tell me which of them is the least stable. Sure, it is <A>.



<A>
Below is a relaxed structure of CsCaTl2Rh, with properties calculated at the PBE level.

a b c (Å): 5.483 5.483 5.448
angles (deg): 90.00 90.00 90.00
Element x y z (fractional)
Cs (0.000, 0.000, 0.000)
Ca (0.500, 0.500, 0.000)
Tl (0.000, 0.500, 0.500)
Tl (0.500, 0.000, 0.500)
Rh (0.500, 0.500, 0.500)

Calculated values
Space-group type: P4/mmm (123)
Density of states at the Fermi level, states/eV per atom: 0.70



<B>
Below is a relaxed structure of CsCaTl2Rh, with properties calculated at the PBE level.

a b c (Å): 5.447 5.447 5.870
angles (deg): 90.00 90.00 90.00
Element x y z (fractional)
Cs (0.000, 0.000, 0.000)
Ca (0.500, 0.500, 0.000)
Tl (0.000, 0.500, 0.500)
Tl (0.500, 0.000, 0.500)
Rh (0.000, 0.000, 0.500)

Calculated values
Space-group type: P4/mmm (123)
Density of states at the Fermi level, states/eV per atom: 0.64



Tell me which of them is the least stable. Sure, it is <B>.



<A>
Below is a relaxed structure of CsCaRu3, with properties calculated at the PBE level.

a b c (Å): 4.954 4.954 4.954
angles (deg): 90.00 90.00 90.00
Element x y z (fractional)
Cs (0.000, 0.000, 0.000)
Ca (0.500, 0.500, 0.500)
Ru (0.000, 0.000, 0.500)
Ru (0.000, 0.500, 0.000)
Ru (0.500, 0.000, 0.000)

Calculated values
Space-group type: Pm-3m (221)
Density of states at the Fermi level, states/eV per atom: 1.72



<B>
Below is a relaxed structure of CsCaRu3, with properties calculated at the PBE level.

a b c (Å): 5.157 5.157 5.157
angles (deg): 90.00 90.00 90.00
Element x y z (fractional)
Cs (0.000, 0.000, 0.000)
Ca (0.500, 0.500, 0.500)
Ru (0.000, 0.500, 0.500)
Ru (0.500, 0.000, 0.500)
Ru (0.500, 0.500, 0.000)

Calculated values
Space-group type: Pm-3m (221)
Density of states at the Fermi level, states/eV per atom: 1.48



Tell me which of them is the least stable. Sure, it is <A>.



<A>
Below is a relaxed structure of CsCa2Ru, with properties calculated at the PBE level.

a b c (Å): 5.471 5.471 5.471
angles (deg): 60.00 60.00 60.00
Element x y z (fractional)
Cs (0.000, 0.000, 0.000)
Ca (0.250, 0.250, 0.250)
Ca (0.750, 0.750, 0.750)
Ru (0.500, 0.500, 0.500)

Calculated values
Space-group type: Fm-3m (225)
Density of states at the Fermi level, states/eV per atom: 0.86



<B>
Below is a relaxed structure of CsCa2Ru, with properties calculated at the PBE level.

a b c (Å): 8.229 8.229 8.229
angles (deg): 120.18 120.18 89.69
Element x y z (fractional)
Cs (0.000, 0.000, 0.000)
Cs (0.750, 0.250, 0.500)
Ca (0.374, 0.625, 0.249)
Ca (0.375, 0.624, 0.749)
Ca (0.376, 0.125, 0.751)
Ca (0.875, 0.626, 0.251)
Ru (0.250, 0.750, 0.500)
Ru (0.500, 0.500, 0.000)

Calculated values
Space-group type: I-42d (122)
Density of states at the Fermi level, states/eV per atom: 1.13



Tell me which of them is the least stable. Sure, it is <A>.



<A>
Below is a relaxed structure of CsCa2Sb2, with properties calculated at the PBE level.

a b c (Å): 9.500 9.500 3.700
angles (deg): 90.00 90.00 90.00
Element x y z (fractional)
Cs (0.000, 0.000, 0.000)
Cs (0.500, 0.500, 0.000)
Ca (0.131, 0.369, 0.000)
Ca (0.369, 0.869, 0.000)
Ca (0.631, 0.131, 0.000)
Ca (0.869, 0.631, 0.000)
Sb (0.162, 0.662, 0.500)
Sb (0.338, 0.162, 0.500)
Sb (0.662, 0.838, 0.500)
Sb (0.838, 0.338, 0.500)

Calculated values
Space-group type: P4/mbm (127)
Density of states at the Fermi level, states/eV per atom: 0.13



<B>
Below is a relaxed structure of CsCa2Sb2, with properties calculated at the PBE level.

a b c (Å): 7.762 7.762 7.762
angles (deg): 134.17 134.17 66.82
Element x y z (fractional)
Cs (0.000, 0.000, 0.000)
Ca (0.299, 0.299, 0.000)
Ca (0.701, 0.701, 0.000)
Sb (0.250, 0.750, 0.500)
Sb (0.750, 0.250, 0.500)

Calculated values
Space-group type: I4/mmm (139)
Density of states at the Fermi level, states/eV per atom: 0.66



Tell me which of them is the least stable. Sure, it is <B>.



<A>
Below is a relaxed structure of CsCa3Sb, with properties calculated at the PBE level.

a b c (Å): 6.253 6.253 6.253
angles (deg): 90.00 90.00 90.00
Element x y z (fractional)
Cs (0.000, 0.000, 0.000)
Ca (0.000, 0.500, 0.500)
Ca (0.500, 0.000, 0.500)
Ca (0.500, 0.500, 0.000)
Sb (0.500, 0.500, 0.500)

Calculated values
Space-group type: Pm-3m (221)
Density of states at the Fermi level, states/eV per atom: 1.33



<B>
Below is a relaxed structure of CsCa3Sb, with properties calculated at the PBE level.

a b c (Å): 5.775 5.775 5.775
angles (deg): 90.00 90.00 90.00
Element x y z (fractional)
Cs (0.000, 0.000, 0.000)
Ca (0.000, 0.000, 0.500)
Ca (0.000, 0.500, 0.000)
Ca (0.500, 0.000, 0.000)
Sb (0.500, 0.500, 0.500)

Calculated values
Space-group type: Pm-3m (221)
Density of states at the Fermi level, states/eV per atom: 1.40



Tell me which of them is the least stable. Sure, it is <B>.



<A>
Below is a relaxed structure of Cs2CaSb, with properties calculated at the PBE level.

a b c (Å): 6.486 6.486 6.486
angles (deg): 60.00 60.00 60.00
Element x y z (fractional)
Cs (0.250, 0.250, 0.250)
Cs (0.750, 0.750, 0.750)
Ca (0.000, 0.000, 0.000)
Sb (0.500, 0.500, 0.500)

Calculated values
Space-group type: Fm-3m (225)
Density of states at the Fermi level, states/eV per atom: 0.48



<B>
Below is a relaxed structure of Cs2CaSb, with properties calculated at the PBE level.

a b c (Å): 14.685 14.685 14.685
angles (deg): 160.45 160.45 27.78
Element x y z (fractional)
Cs (0.121, 0.625, 0.996)
Cs (0.375, 0.371, 0.496)
Cs (0.629, 0.125, 0.004)
Cs (0.875, 0.879, 0.504)
Ca (0.250, 0.750, 0.500)
Ca (0.500, 0.500, 0.000)
Sb (0.000, 0.000, 0.000)
Sb (0.750, 0.250, 0.500)

Calculated values
Space-group type: I-42d (122)
Density of states at the Fermi level, states/eV per atom: 0.88



Tell me which of them is the least stable. Sure, it is <A>.



<A>
Below is a relaxed structure of CsCaSb3, with properties calculated at the PBE level.

a b c (Å): 5.913 5.913 5.913
angles (deg): 90.00 90.00 90.00
Element x y z (fractional)
Cs (0.000, 0.000, 0.000)
Ca (0.500, 0.500, 0.500)
Sb (0.000, 0.500, 0.500)
Sb (0.500, 0.000, 0.500)
Sb (0.500, 0.500, 0.000)

Calculated values
Space-group type: Pm-3m (221)
Density of states at the Fermi level, states/eV per atom: 0.44



<B>
Below is a relaxed structure of CsCaSb3, with properties calculated at the PBE level.

a b c (Å): 6.069 6.069 6.069
angles (deg): 90.00 90.00 90.00
Element x y z (fractional)
Cs (0.000, 0.000, 0.000)
Ca (0.500, 0.500, 0.500)
Sb (0.000, 0.000, 0.500)
Sb (0.000, 0.500, 0.000)
Sb (0.500, 0.000, 0.000)

Calculated values
Space-group type: Pm-3m (221)
Density of states at the Fermi level, states/eV per atom: 0.93



Tell me which of them is the least stable. Sure, it is <B>.